1.
# PBEsol CaRhSe, optimized geometry
data_CaRhSe
_symmetry_space_group_name_H-M 'P 1'
_symmetry_Int_Tables_number 1
_cell_length_a 3.970
_cell_length_b 4.166
_cell_length_c 4.166
_cell_angle_alpha 120.00
_cell_angle_beta 90.00
_cell_angle_gamma 90.00
loop_
_symmetry_equiv_pos_as_xyz
'x,y,z'
loop_
_atom_site_label
_atom_site_type_symbol
_atom_site_fract_x
_atom_site_fract_y
_atom_site_fract_z
Se1 Se 0.000 0.667 0.333
Rh1 Rh 0.000 0.333 0.667
Ca1 Ca 0.500 0.000 0.000
# total DFT energy (no corrections) = -5.66 eV/atom

2.
# PBEsol CaRh2Se, optimized geometry
data_CaRh2Se
_symmetry_space_group_name_H-M 'P 1'
_symmetry_Int_Tables_number 1
_cell_length_a 2.946
_cell_length_b 4.836
_cell_length_c 5.406
_cell_angle_alpha 116.45
_cell_angle_beta 105.63
_cell_angle_gamma 90.38
loop_
_symmetry_equiv_pos_as_xyz
'x,y,z'
loop_
_atom_site_label
_atom_site_type_symbol
_atom_site_fract_x
_atom_site_fract_y
_atom_site_fract_z
Rh1 Rh 0.500 0.500 0.500
Rh2 Rh 0.000 0.000 0.500
Ca1 Ca 0.000 0.500 0.000
Se1 Se 0.500 0.000 0.000
# total DFT energy (no corrections) = -5.75 eV/atom

Number 1: raw formation energy -0.951 eV per atom. Number 2: raw formation energy -0.183 eV per atom.